# 1
# LiEr3In2 (PBE-GGA, optimized geometry)
data_LiEr3In2
_chemical_formula_sum 'Li1 Er3 In2'
_cell_length_a 9.565
_cell_length_b 9.565
_cell_length_c 9.565
_cell_angle_alpha 159.87
_cell_angle_beta 146.44
_cell_angle_gamma 39.45
_space_group_name_H-M_alt 'P 1'
_space_group_IT_number 1
loop_
_space_group_symop_operation_xyz
'x,y,z'
loop_
_atom_site_label
_atom_site_type_symbol
_atom_site_fract_x
_atom_site_fract_y
_atom_site_fract_z
_atom_site_occupancy
Li1 Li 0.000 0.000 0.000 1
Er1 Er 0.179 0.179 0.000 1
Er2 Er 0.500 0.000 0.500 1
Er3 Er 0.821 0.821 0.000 1
In1 In 0.352 0.352 0.000 1
In2 In 0.648 0.648 0.000 1
# **Total DFT energy (no corrections)**: -20.975 eV/f.u.
# **E_form**: 10 kJ/mol of formula units
# **Size of the total moment**: 0.24 μB per formula unit
# **Energy relative to the lowest polymorph listed for this composition**: 344 meV per atom

# 2
# SbPd6Se (PBE-GGA, optimized geometry)
data_SbPd6Se
_chemical_formula_sum 'Sb1 Pd6 Se1'
_cell_length_a 7.836
_cell_length_b 7.836
_cell_length_c 7.836
_cell_angle_alpha 33.60
_cell_angle_beta 33.60
_cell_angle_gamma 33.60
_space_group_name_H-M_alt 'P 1'
_space_group_IT_number 1
loop_
_space_group_symop_operation_xyz
'x,y,z'
loop_
_atom_site_label
_atom_site_type_symbol
_atom_site_fract_x
_atom_site_fract_y
_atom_site_fract_z
_atom_site_occupancy
Sb1 Sb 0.000 0.000 0.000 1
Pd1 Pd 0.128 0.128 0.128 1
Pd2 Pd 0.253 0.253 0.253 1
Pd3 Pd 0.379 0.379 0.379 1
Pd4 Pd 0.621 0.621 0.621 1
Pd5 Pd 0.747 0.747 0.747 1
Pd6 Pd 0.872 0.872 0.872 1
Se1 Se 0.500 0.500 0.500 1
# **Total DFT energy (no corrections)**: -40.490 eV/f.u.
# **Size of the total moment**: 0.00 μB per formula unit
# **Energy relative to the elements, uncorrected**: -0.216 eV/atom

# 3
# SrSb2P2Pd7 (PBE-GGA, optimized geometry)
data_SrSb2P2Pd7
_chemical_formula_sum 'Sr1 Sb2 P2 Pd7'
_cell_length_a 4.235
_cell_length_b 4.235
_cell_length_c 12.935
_cell_angle_alpha 92.63
_cell_angle_beta 92.63
_cell_angle_gamma 88.87
_space_group_name_H-M_alt 'P 1'
_space_group_IT_number 1
loop_
_space_group_symop_operation_xyz
'x,y,z'
loop_
_atom_site_label
_atom_site_type_symbol
_atom_site_fract_x
_atom_site_fract_y
_atom_site_fract_z
_atom_site_occupancy
Sr1 Sr 0.000 0.000 0.000 1
Sb1 Sb 0.154 0.154 0.402 1
Sb2 Sb 0.846 0.846 0.598 1
P1 P 0.400 0.400 0.827 1
P2 P 0.600 0.600 0.173 1
Pd1 Pd 0.114 0.624 0.257 1
Pd2 Pd 0.369 0.369 0.590 1
Pd3 Pd 0.376 0.886 0.743 1
Pd4 Pd 0.500 0.500 0.000 1
Pd5 Pd 0.624 0.114 0.257 1
Pd6 Pd 0.631 0.631 0.410 1
Pd7 Pd 0.886 0.376 0.743 1
# **Total DFT energy (no corrections)**: -63.388 eV/f.u.
# **Size of the total moment**: 0.00 μB per formula unit
# **Energy relative to the elements, uncorrected**: -0.524 eV/atom

# 4
# TiBAsBr2 (PBE-GGA, optimized geometry)
data_TiBAsBr2
_chemical_formula_sum 'Ti1 B1 As1 Br2'
_cell_length_a 5.028
_cell_length_b 5.028
_cell_length_c 5.085
_cell_angle_alpha 90.00
_cell_angle_beta 90.00
_cell_angle_gamma 90.00
_space_group_name_H-M_alt 'P 1'
_space_group_IT_number 1
loop_
_space_group_symop_operation_xyz
'x,y,z'
loop_
_atom_site_label
_atom_site_type_symbol
_atom_site_fract_x
_atom_site_fract_y
_atom_site_fract_z
_atom_site_occupancy
Ti1 Ti 0.000 0.000 0.000 1
B1 B 0.500 0.500 0.500 1
As1 As 0.000 0.000 0.500 1
Br1 Br 0.000 0.500 0.000 1
Br2 Br 0.500 0.000 0.000 1
# **Total DFT energy (no corrections)**: -19.328 eV/f.u.
# **Size of the total moment**: 0.00 μB per formula unit
# **Energy relative to the lowest polymorph listed for this composition**: 0 meV per atom
# **Energy relative to the elements, uncorrected**: 0.648 eV/atom

# 5
# Tl2AgO (PBE-GGA, optimized geometry)
data_Tl2AgO
_chemical_formula_sum 'Tl2 Ag1 O1'
_cell_length_a 4.915
_cell_length_b 4.915
_cell_length_c 4.915
_cell_angle_alpha 60.00
_cell_angle_beta 60.00
_cell_angle_gamma 60.00
_space_group_name_H-M_alt 'P 1'
_space_group_IT_number 1
loop_
_space_group_symop_operation_xyz
'x,y,z'
loop_
_atom_site_label
_atom_site_type_symbol
_atom_site_fract_x
_atom_site_fract_y
_atom_site_fract_z
_atom_site_occupancy
Tl1 Tl 0.250 0.250 0.250 1
Tl2 Tl 0.750 0.750 0.750 1
Ag1 Ag 0.000 0.000 0.000 1
O1 O 0.500 0.500 0.500 1
# **Total DFT energy (no corrections)**: -12.091 eV/f.u.
# **Size of the total moment**: 0.00 μB per formula unit
# **Energy relative to the lowest polymorph listed for this composition**: 286 meV per atom
# **Energy relative to the elements, uncorrected**: 0.113 eV/atom

# 6
# Ti2RuRh (PBE-GGA, optimized geometry)
data_Ti2RuRh
_chemical_formula_sum 'Ti2 Ru1 Rh1'
_cell_length_a 5.492
_cell_length_b 5.492
_cell_length_c 5.492
_cell_angle_alpha 150.78
_cell_angle_beta 127.71
_cell_angle_gamma 61.03
_space_group_name_H-M_alt 'P 1'
_space_group_IT_number 1
loop_
_space_group_symop_operation_xyz
'x,y,z'
loop_
_atom_site_label
_atom_site_type_symbol
_atom_site_fract_x
_atom_site_fract_y
_atom_site_fract_z
_atom_site_occupancy
Ti1 Ti 0.248 0.248 0.000 1
Ti2 Ti 0.752 0.752 0.000 1
Ru1 Ru 0.000 0.000 0.000 1
Rh1 Rh 0.500 0.500 0.000 1
# **Total DFT energy (no corrections)**: -32.117 eV/f.u.
# **E_form**: 29 kJ/mol of formula units
# **Size of the total moment**: 0.00 μB per formula unit

# 7
# AcTl2Te (PBE-GGA, optimized geometry)
data_AcTl2Te
_chemical_formula_sum 'Ac1 Tl2 Te1'
_cell_length_a 4.849
_cell_length_b 4.849
_cell_length_c 5.438
_cell_angle_alpha 90.00
_cell_angle_beta 90.00
_cell_angle_gamma 90.00
_space_group_name_H-M_alt 'P 1'
_space_group_IT_number 1
loop_
_space_group_symop_operation_xyz
'x,y,z'
loop_
_atom_site_label
_atom_site_type_symbol
_atom_site_fract_x
_atom_site_fract_y
_atom_site_fract_z
_atom_site_occupancy
Ac1 Ac 0.000 0.000 0.000 1
Tl1 Tl 0.000 0.500 0.500 1
Tl2 Tl 0.500 0.000 0.500 1
Te1 Te 0.500 0.500 0.000 1
# **Total DFT energy (no corrections)**: -14.352 eV/f.u.
# **Size of the total moment**: 0.00 μB per formula unit
# **Energy relative to the lowest polymorph listed for this composition**: 0 meV per atom
# **Energy relative to the elements, uncorrected**: -0.592 eV/atom

# 8
# U2SnRu5 (PBE-GGA, optimized geometry)
data_U2SnRu5
_chemical_formula_sum 'U4 Sn2 Ru10'
_cell_length_a 5.740
_cell_length_b 11.329
_cell_length_c 4.169
_cell_angle_alpha 90.00
_cell_angle_beta 90.00
_cell_angle_gamma 90.00
_space_group_name_H-M_alt 'P 1'
_space_group_IT_number 1
loop_
_space_group_symop_operation_xyz
'x,y,z'
loop_
_atom_site_label
_atom_site_type_symbol
_atom_site_fract_x
_atom_site_fract_y
_atom_site_fract_z
_atom_site_occupancy
U1 U 0.183 0.140 0.000 1
U2 U 0.317 0.640 0.000 1
U3 U 0.683 0.360 0.000 1
U4 U 0.817 0.860 0.000 1
Sn1 Sn 0.000 0.500 0.500 1
Sn2 Sn 0.500 0.000 0.500 1
Ru1 Ru 0.000 0.000 0.500 1
Ru2 Ru 0.052 0.750 0.500 1
Ru3 Ru 0.212 0.379 0.000 1
Ru4 Ru 0.288 0.879 0.000 1
Ru5 Ru 0.448 0.250 0.500 1
Ru6 Ru 0.500 0.500 0.500 1
Ru7 Ru 0.552 0.750 0.500 1
Ru8 Ru 0.712 0.121 0.000 1
Ru9 Ru 0.788 0.621 0.000 1
Ru10 Ru 0.948 0.250 0.500 1
# **Total DFT energy (no corrections)**: -75.843 eV/f.u.
# **E_form**: -278 kJ/mol of formula units
# **Size of the total moment**: 0.00 μB per formula unit

The highest size of the total moment belongs to which entry? LiEr3In2